La4HOsBr2 | PBE | optimized geometry

```
data_La4HOsBr2
_chemical_formula_sum 'La4 H1 Os1 Br2'
_symmetry_space_group_name_H-M 'P 1'
_symmetry_Int_Tables_number 1
_cell_length_a 4.1183
_cell_length_b 6.8124
_cell_length_c 8.2400
_cell_angle_alpha 106.51
_cell_angle_beta 90.00
_cell_angle_gamma 90.00
loop_
_symmetry_equiv_pos_as_xyz
'x,y,z'
loop_
_atom_site_label
_atom_site_type_symbol
_atom_site_fract_x
_atom_site_fract_y
_atom_site_fract_z
La1 La 0.5000 0.2338 0.2002
La2 La 0.5000 0.7662 0.7998
La3 La 0.0000 0.2581 0.8030
La4 La 0.0000 0.7419 0.1970
H1 H 0.0000 0.0000 0.0000
Os1 Os 0.5000 0.5000 0.0000
Br1 Br 0.5000 0.0000 0.5000
Br2 Br 0.0000 0.5000 0.5000
```

Values from the calculation:
* mass density: 6.79 g/cm³
* DFT total energy: -5.557 eV/atom